! TbPuZnNi, optimized geometry, DFT GGA-PBE; values from VASP
&SYSTEM
  ibrav = 0, nat = 4, ntyp = 4
/
ATOMIC_SPECIES
Pu 244.00 Pu.upf
Zn 65.41 Zn.upf
Ni 58.69 Ni.upf
Tb 158.93 Tb.upf
CELL_PARAMETERS angstrom
-1.869 3.447 -2.981
-3.410 -1.218 -3.340
-4.658 1.494 0.578
ATOMIC_POSITIONS angstrom
Pu -2.484 0.931 -1.436
Zn -4.968 1.862 -2.872
Ni 0.000 0.000 0.000
Tb -7.452 2.793 -4.308
! Space group: No. 216
! Total energy, eV/atom: -6.6344
! ΔH_f (0 K), kJ/mol of atoms: -13